[1]
Below is an optimized crystal structure of SrNb2PbI, with properties calculated at the PBE-GGA level.

Geometry as POSCAR:
```
SrNb2PbI
1.0
5.326 0.000 0.000
0.000 5.839 0.000
0.000 0.000 5.326
Nb Pb I Sr
2 1 1 1
direct
0.000 0.000 0.500
0.500 0.000 0.000
0.500 0.500 0.500
0.000 0.000 0.000
0.000 0.500 0.000
```

Computed properties:
Symmetry   P4/mmm (123)
M_tot   3.76 μB per formula unit
ΔE_f (raw)   1.098 eV per atom

[2]
Below is an optimized crystal structure of La4Au2Cl, with properties calculated at the PBE-GGA level.

Geometry as POSCAR:
```
La4Au2Cl
1.0
-2.191 3.095 1.763
-6.613 -0.473 -2.429
-4.211 -3.396 5.687
La Au Cl
4 2 1
direct
0.090 0.215 0.604
0.910 0.785 0.396
0.672 0.736 0.919
0.328 0.264 0.081
0.623 0.441 0.314
0.377 0.559 0.686
0.000 0.000 0.000
```

Computed properties:
Symmetry   C2/m (12)
M_tot   0.00 μB per formula unit
Distance to the lowest polymorph of the same formula   0 meV per atom
ΔE_f (raw)   -0.927 eV per atom

[3]
Below is an optimized crystal structure of PaCdHg, with properties calculated at the PBE-GGA level.

Geometry as POSCAR:
```
PaCdHg
1.0
-2.751 -0.122 1.577
1.887 -2.549 -0.098
3.766 2.529 6.764
Pa Hg Cd
1 1 1
direct
0.000 0.000 0.002
0.667 0.333 0.340
0.333 0.667 0.658
```

Computed properties:
Symmetry   P3m1 (156)
M_tot   0.00 μB per formula unit
Distance to the lowest polymorph of the same formula   0 meV per atom
E_form   20 meV per atom